(1)
A relaxed structure of Tc2Ir, computed with PBE.

The structure in CIF format:
```
data_Tc2Ir
_chemical_formula_sum 'Tc4 Ir2'
_cell_length_a 4.3419
_cell_length_b 4.3419
_cell_length_c 5.4273
_cell_angle_alpha 90.00
_cell_angle_beta 90.00
_cell_angle_gamma 120.00
_symmetry_space_group_name_H-M 'P 63/m m c'
_symmetry_Int_Tables_number 194
_symmetry_space_group_name_Hall '-P 6c 2c'
loop_
_atom_site_label
_atom_site_fract_x
_atom_site_fract_y
_atom_site_fract_z
_atom_site_occupancy
Tc1 0.0000 0.0000 0.0000 1
Tc2 0.3333 0.6667 0.2500 1
Ir1 0.3333 0.6667 0.7500 1
```

Summary:
DOS(E_F) in states/eV/f.u.: 2.0
Energy relative to the elements in kJ/mol of atoms: -3.3
Offset from the most stable computed form in eV per formula unit: 0.54
Mass density in kg/m3: 14551
Total magnetization in μB/cell: 0.0



(2)
A relaxed structure of KCaDyF6, computed with PBE.

The structure in CIF format:
```
data_KCaDyF6
_chemical_formula_sum 'K2 Ca2 Dy2 F12'
_cell_length_a 6.1345
_cell_length_b 6.1345
_cell_length_c 10.4973
_cell_angle_alpha 90.00
_cell_angle_beta 90.00
_cell_angle_gamma 120.00
_symmetry_space_group_name_H-M 'P -3 1 c'
_symmetry_Int_Tables_number 163
_symmetry_space_group_name_Hall '-P 3 2c'
loop_
_atom_site_label
_atom_site_fract_x
_atom_site_fract_y
_atom_site_fract_z
_atom_site_occupancy
K1 0.0000 0.0000 0.0000 1
Ca1 0.3333 0.6667 0.2500 1
Dy1 0.3333 0.6667 0.7500 1
F1 0.0104 0.3766 0.6426 1
```

Summary:
DOS(E_F) in states/eV/f.u.: 0.0
Electronic total energy in eV per atom: -5.85
Mass density in kg/m3: 3453
Total magnetization in μB/cell: 0.3



(3)
A relaxed structure of Hf2ZnGePd, computed with PBE.

The structure in CIF format:
```
data_Hf2ZnGePd
_chemical_formula_sum 'Hf2 Zn1 Ge1 Pd1'
_cell_length_a 4.8797
_cell_length_b 4.8797
_cell_length_c 4.5389
_cell_angle_alpha 90.00
_cell_angle_beta 90.00
_cell_angle_gamma 90.00
_symmetry_space_group_name_H-M 'P 4/m m m'
_symmetry_Int_Tables_number 123
_symmetry_space_group_name_Hall '-P 4 2'
loop_
_atom_site_label
_atom_site_fract_x
_atom_site_fract_y
_atom_site_fract_z
_atom_site_occupancy
Hf1 0.0000 0.5000 0.0000 1
Zn1 0.0000 0.0000 0.0000 1
Ge1 0.5000 0.5000 0.5000 1
Pd1 0.0000 0.0000 0.5000 1
```

Summary:
DOS(E_F) in states/eV/f.u.: 3.9
Energy relative to the elements in kJ/mol of atoms: 48.5
Mass density in kg/m3: 9241
Total magnetization in μB/cell: 0.0



Which formula does entry 3 have? Hf2ZnGePd



Number 3 is which compound? Hf2ZnGePd



What is the formula in the second record? KCaDyF6